## Mg2Pb (GGA-PBE)

Data for crystalline Mg2Pb at its relaxed geometry.

crystal system = tetragonal
ΔH_f (0 K) = 0.0599 eV per atom

abc: 5.9785 5.9785 5.9785
angles: 112.97 112.97 102.69
Fractional coordinates of all 6 atoms:
Mg1 0.3266 0.8266 0.1532
Mg2 0.6734 0.1734 0.8468
Mg3 0.1734 0.3266 0.5000
Mg4 0.8266 0.6734 0.5000
Pb1 0.2500 0.2500 0.0000
Pb2 0.7500 0.7500 0.0000

## Mg3Pb (GGA-PBE)

Data for crystalline Mg3Pb at its relaxed geometry.

crystal system = cubic
ΔH_f (0 K) = -0.0234 eV per atom

abc: 5.8249 5.8249 5.8249
angles: 90.00 90.00 90.00
Fractional coordinates of all 8 atoms:
Mg1 0.7500 0.5000 0.0000
Mg2 0.2500 0.5000 0.0000
Mg3 0.0000 0.7500 0.5000
Mg4 0.0000 0.2500 0.5000
Mg5 0.5000 0.0000 0.2500
Mg6 0.5000 0.0000 0.7500
Pb1 0.0000 0.0000 0.0000
Pb2 0.5000 0.5000 0.5000

## MgPb2 (GGA-PBE)

Data for crystalline MgPb2 at its relaxed geometry.

crystal system = orthorhombic
ΔH_f (0 K) = -0.0052 eV per atom
energy relative to the lowest polymorph listed for this composition = 0.084 eV per formula unit

abc: 6.0786 6.0786 6.0786
angles: 145.86 137.14 55.89
Fractional coordinates of all 3 atoms:
Pb1 0.3404 0.3404 0.0000
Pb2 0.6596 0.6596 0.0000
Mg1 0.0000 0.0000 0.0000